# 1
Computed, not measured: CoMoW2 after structural relaxation at the GGA-PBE level of DFT.

Computed properties:
Calculated formation energy ... 0.173 eV per atom
N(E_F) ... 3.89 states/eV per cell
Energy above the lowest structure with this stoichiometry ... 98 meV per atom

Unit cell a=3.165 b=3.165 c=5.932 alpha=90.00 beta=90.00 gamma=90.00
Space group P4mm (No. 99)
Inequivalent atoms, fractional coordinates:
Co 0.000 0.000 0.000 (multiplicity 1)
Mo 0.500 0.500 0.249 (multiplicity 1)
W 0.000 0.000 0.504 (multiplicity 1)
W 0.500 0.500 0.771 (multiplicity 1)



# 2
Computed, not measured: CoMoW2 after structural relaxation at the GGA-PBE level of DFT.

Computed properties:
Calculated formation energy ... 0.264 eV per atom
N(E_F) ... 7.98 states/eV per cell
Energy above the lowest structure with this stoichiometry ... 189 meV per atom

Unit cell a=3.864 b=3.864 c=7.944 alpha=90.00 beta=90.00 gamma=90.00
Space group I4/mmm (No. 139)
Inequivalent atoms, fractional coordinates:
Co 0.000 0.000 0.000 (multiplicity 2)
Mo 0.000 0.000 0.500 (multiplicity 2)
W 0.000 0.500 0.250 (multiplicity 4)



# 3
Computed, not measured: CoMoW2 after structural relaxation at the GGA-PBE level of DFT.

Computed properties:
Calculated formation energy ... 0.223 eV per atom
N(E_F) ... 18.77 states/eV per cell
Energy above the lowest structure with this stoichiometry ... 148 meV per atom

Unit cell a=6.197 b=6.197 c=6.197 alpha=90.00 beta=90.00 gamma=90.00
Space group Fm-3m (No. 225)
Inequivalent atoms, fractional coordinates:
Co 0.000 0.000 0.000 (multiplicity 4)
Mo 0.000 0.000 0.500 (multiplicity 4)
W 0.250 0.250 0.250 (multiplicity 8)